# CdAsBr4 (PBE, optimized geometry)
data_CdAsBr4
_chemical_formula_sum 'Cd4 As4 Br16'
_symmetry_space_group_name_H-M 'F -4 3 m'
_symmetry_Int_Tables_number 216
_symmetry_space_group_name_Hall 'F -4 2 3'
_cell_length_a 8.929
_cell_length_b 8.929
_cell_length_c 8.929
_cell_angle_alpha 90.00
_cell_angle_beta 90.00
_cell_angle_gamma 90.00
loop_
_atom_site_label
_atom_site_type_symbol
_atom_site_fract_x
_atom_site_fract_y
_atom_site_fract_z
_atom_site_occupancy
Cd1 Cd 0.000 0.000 0.000 1
As1 As 0.250 0.250 0.750 1
Br1 Br 0.125 0.125 0.375 1
# Energy above the most stable polymorph in this dataset, eV/f.u.: 7.60
# Raw total energy, eV/f.u.: -7.83
# DOS at the Fermi energy, states/eV/atom: 1.3585



# Cd2AsBr (PBE, optimized geometry)
data_Cd2AsBr
_chemical_formula_sum 'Cd2 As1 Br1'
_symmetry_space_group_name_H-M 'P 1 2/m 1'
_symmetry_Int_Tables_number 10
_cell_length_a 3.539
_cell_length_b 3.782
_cell_length_c 7.499
_cell_angle_alpha 90.00
_cell_angle_beta 90.01
_cell_angle_gamma 90.00
loop_
_symmetry_equiv_pos_as_xyz
'x,y,z'
'-x,-y,-z'
'-x,y,-z'
'x,-y,z'
loop_
_atom_site_label
_atom_site_type_symbol
_atom_site_fract_x
_atom_site_fract_y
_atom_site_fract_z
_atom_site_occupancy
Cd1 Cd 0.003 0.000 0.202 1
As1 As 0.500 0.500 0.000 1
Br1 Br 0.000 0.500 0.500 1
# Energy above the most stable polymorph in this dataset, eV/f.u.: 1.05
# Raw total energy, eV/f.u.: -8.65
# DOS at the Fermi energy, states/eV/atom: 0.2363



# CdAs2Br6 (PBE, optimized geometry)
data_CdAs2Br6
_chemical_formula_sum 'Cd4 As8 Br24'
_symmetry_space_group_name_H-M 'C 1 2/c 1'
_symmetry_Int_Tables_number 15
_cell_length_a 14.974
_cell_length_b 18.653
_cell_length_c 5.693
_cell_angle_alpha 90.00
_cell_angle_beta 109.23
_cell_angle_gamma 90.00
loop_
_symmetry_equiv_pos_as_xyz
'x,y,z'
'-x,-y,-z'
'-x,y,-z+1/2'
'x,-y,z+1/2'
'x+1/2,y+1/2,z'
'-x+1/2,-y+1/2,-z'
'-x+1/2,y+1/2,-z+1/2'
'x+1/2,-y+1/2,z+1/2'
loop_
_atom_site_label
_atom_site_type_symbol
_atom_site_fract_x
_atom_site_fract_y
_atom_site_fract_z
_atom_site_occupancy
Cd1 Cd 0.000 0.001 0.250 1
As1 As 0.137 0.390 0.672 1
Br1 Br 0.108 0.411 0.070 1
Br2 Br 0.129 0.264 0.652 1
Br3 Br 0.195 0.092 0.188 1
# Raw total energy, eV/f.u.: -23.32
# DOS at the Fermi energy, states/eV/atom: 0.1919



# CdAsBr (PBE, optimized geometry)
data_CdAsBr
_chemical_formula_sum 'Cd4 As4 Br4'
_symmetry_space_group_name_H-M 'F -4 3 m'
_symmetry_Int_Tables_number 216
_symmetry_space_group_name_Hall 'F -4 2 3'
_cell_length_a 6.896
_cell_length_b 6.896
_cell_length_c 6.896
_cell_angle_alpha 90.00
_cell_angle_beta 90.00
_cell_angle_gamma 90.00
loop_
_atom_site_label
_atom_site_type_symbol
_atom_site_fract_x
_atom_site_fract_y
_atom_site_fract_z
_atom_site_occupancy
Cd1 Cd 0.000 0.000 0.000 1
As1 As 0.250 0.250 0.750 1
Br1 Br 0.250 0.250 0.250 1
# Energy above the most stable polymorph in this dataset, eV/f.u.: 2.35
# Raw total energy, eV/f.u.: -6.20
# DOS at the Fermi energy, states/eV/atom: 1.4214



# CdAsBr4 (PBE, optimized geometry)
data_CdAsBr4
_chemical_formula_sum 'Cd4 As4 Br16'
_symmetry_space_group_name_H-M 'C 1 2/c 1'
_symmetry_Int_Tables_number 15
_cell_length_a 12.754
_cell_length_b 14.076
_cell_length_c 6.275
_cell_angle_alpha 90.00
_cell_angle_beta 104.37
_cell_angle_gamma 90.00
loop_
_symmetry_equiv_pos_as_xyz
'x,y,z'
'-x,-y,-z'
'-x,y,-z+1/2'
'x,-y,z+1/2'
'x+1/2,y+1/2,z'
'-x+1/2,-y+1/2,-z'
'-x+1/2,y+1/2,-z+1/2'
'x+1/2,-y+1/2,z+1/2'
loop_
_atom_site_label
_atom_site_type_symbol
_atom_site_fract_x
_atom_site_fract_y
_atom_site_fract_z
_atom_site_occupancy
Cd1 Cd 0.000 0.003 0.250 1
As1 As 0.000 0.488 0.250 1
Br1 Br 0.118 0.110 0.054 1
Br2 Br 0.148 0.382 0.326 1
# Energy above the most stable polymorph in this dataset, eV/f.u.: 0.00
# Raw total energy, eV/f.u.: -15.43
# DOS at the Fermi energy, states/eV/atom: 0.1914



# Cd4AsBr3 (PBE, optimized geometry)
data_Cd4AsBr3
_chemical_formula_sum 'Cd8 As2 Br6'
_symmetry_space_group_name_H-M 'P m n 21'
_symmetry_Int_Tables_number 31
_cell_length_a 8.735
_cell_length_b 9.096
_cell_length_c 7.511
_cell_angle_alpha 90.00
_cell_angle_beta 90.00
_cell_angle_gamma 90.00
loop_
_symmetry_equiv_pos_as_xyz
'x,y,z'
'-x+1/2,-y,z+1/2'
'-x,y,z'
'x+1/2,-y,z+1/2'
loop_
_atom_site_label
_atom_site_type_symbol
_atom_site_fract_x
_atom_site_fract_y
_atom_site_fract_z
_atom_site_occupancy
Cd1 Cd 0.000 0.060 0.000 1
Cd2 Cd 0.000 0.089 0.647 1
Cd3 Cd 0.225 0.360 0.297 1
As1 As 0.000 0.172 0.319 1
Br1 Br 0.000 0.721 0.956 1
Br2 Br 0.224 0.632 0.434 1
# Raw total energy, eV/f.u.: -16.84



# CdAsBr (PBE, optimized geometry)
data_CdAsBr
_chemical_formula_sum 'Cd4 As4 Br4'
_symmetry_space_group_name_H-M 'F m m 2'
_symmetry_Int_Tables_number 42
_symmetry_space_group_name_Hall 'F 2 -2'
_cell_length_a 4.047
_cell_length_b 5.515
_cell_length_c 13.527
_cell_angle_alpha 90.00
_cell_angle_beta 90.00
_cell_angle_gamma 90.00
loop_
_atom_site_label
_atom_site_type_symbol
_atom_site_fract_x
_atom_site_fract_y
_atom_site_fract_z
_atom_site_occupancy
Cd1 Cd 0.000 0.000 0.000 1
As1 As 0.000 0.000 0.356 1
Br1 Br 0.000 0.000 0.641 1
# Energy above the most stable polymorph in this dataset, eV/f.u.: 1.60
# Raw total energy, eV/f.u.: -6.96
# DOS at the Fermi energy, states/eV/atom: 0.5678



# Cd2AsBr (PBE, optimized geometry)
data_Cd2AsBr
_chemical_formula_sum 'Cd2 As1 Br1'
_symmetry_space_group_name_H-M 'P 4 m m'
_symmetry_Int_Tables_number 99
_cell_length_a 4.691
_cell_length_b 4.691
_cell_length_c 5.483
_cell_angle_alpha 90.00
_cell_angle_beta 90.00
_cell_angle_gamma 90.00
loop_
_symmetry_equiv_pos_as_xyz
'x,y,z'
'-y,x,z'
'-x,-y,z'
'y,-x,z'
'-x,y,z'
'y,x,z'
'x,-y,z'
'-y,-x,z'
loop_
_atom_site_label
_atom_site_type_symbol
_atom_site_fract_x
_atom_site_fract_y
_atom_site_fract_z
_atom_site_occupancy
Cd1 Cd 0.000 0.500 0.000 1
As1 As 0.000 0.000 0.767 1
Br1 Br 0.500 0.500 0.347 1
# Energy above the most stable polymorph in this dataset, eV/f.u.: 0.39
# Raw total energy, eV/f.u.: -9.30



# CdAs2Br (PBE, optimized geometry)
data_CdAs2Br
_chemical_formula_sum 'Cd1 As2 Br1'
_symmetry_space_group_name_H-M 'P 4/m m m'
_symmetry_Int_Tables_number 123
_symmetry_space_group_name_Hall '-P 4 2'
_cell_length_a 3.865
_cell_length_b 3.865
_cell_length_c 6.998
_cell_angle_alpha 90.00
_cell_angle_beta 90.00
_cell_angle_gamma 90.00
loop_
_atom_site_label
_atom_site_type_symbol
_atom_site_fract_x
_atom_site_fract_y
_atom_site_fract_z
_atom_site_occupancy
Cd1 Cd 0.000 0.000 0.000 1
As1 As 0.000 0.500 0.500 1
Br1 Br 0.500 0.500 0.000 1
# Energy above the most stable polymorph in this dataset, eV/f.u.: 1.46
# Raw total energy, eV/f.u.: -11.12
# DOS at the Fermi energy, states/eV/atom: 0.7320



# CdAs2Br (PBE, optimized geometry)
data_CdAs2Br
_chemical_formula_sum 'Cd3 As6 Br3'
_symmetry_space_group_name_H-M 'R -3 m'
_symmetry_Int_Tables_number 166
_symmetry_space_group_name_Hall '-R 3 2"'
_cell_length_a 3.1128
_cell_length_b 3.1128
_cell_length_c 35.0082
_cell_angle_alpha 90.00
_cell_angle_beta 90.00
_cell_angle_gamma 120.00
loop_
_atom_site_label
_atom_site_type_symbol
_atom_site_fract_x
_atom_site_fract_y
_atom_site_fract_z
_atom_site_occupancy
Cd1 Cd 0.0000 0.0000 0.0000 1
As1 As 0.0000 0.0000 0.2676 1
Br1 Br 0.0000 0.0000 0.5000 1
# Energy above the most stable polymorph in this dataset, eV/f.u.: 2.32
# Raw total energy, eV/f.u.: -10.27
# DOS at the Fermi energy, states/eV/atom: 1.3977



# Cd2AsBr (PBE, optimized geometry)
data_Cd2AsBr
_chemical_formula_sum 'Cd8 As4 Br4'
_symmetry_space_group_name_H-M 'F -4 3 m'
_symmetry_Int_Tables_number 216
_symmetry_space_group_name_Hall 'F -4 2 3'
_cell_length_a 7.241
_cell_length_b 7.241
_cell_length_c 7.241
_cell_angle_alpha 90.00
_cell_angle_beta 90.00
_cell_angle_gamma 90.00
loop_
_atom_site_label
_atom_site_type_symbol
_atom_site_fract_x
_atom_site_fract_y
_atom_site_fract_z
_atom_site_occupancy
Cd1 Cd 0.000 0.000 0.000 1
Cd2 Cd 0.250 0.250 0.250 1
As1 As 0.250 0.250 0.750 1
Br1 Br 0.000 0.000 0.500 1
# Energy above the most stable polymorph in this dataset, eV/f.u.: 2.66
# Raw total energy, eV/f.u.: -7.03
# DOS at the Fermi energy, states/eV/atom: 0.8266



# CdAs2Br (PBE, optimized geometry)
data_CdAs2Br
_chemical_formula_sum 'Cd2 As4 Br2'
_symmetry_space_group_name_H-M 'C m m m'
_symmetry_Int_Tables_number 65
_symmetry_space_group_name_Hall '-C 2 2'
_cell_length_a 5.689
_cell_length_b 5.698
_cell_length_c 6.202
_cell_angle_alpha 90.00
_cell_angle_beta 90.00
_cell_angle_gamma 90.00
loop_
_atom_site_label
_atom_site_type_symbol
_atom_site_fract_x
_atom_site_fract_y
_atom_site_fract_z
_atom_site_occupancy
Cd1 Cd 0.000 0.000 0.000 1
As1 As 0.000 0.500 0.189 1
Br1 Br 0.000 0.000 0.500 1
# Energy above the most stable polymorph in this dataset, eV/f.u.: 1.36
# Raw total energy, eV/f.u.: -11.22
# DOS at the Fermi energy, states/eV/atom: 0.3397



# CdAsBr6 (PBE, optimized geometry)
data_CdAsBr6
_chemical_formula_sum 'Cd3 As3 Br18'
_symmetry_space_group_name_H-M 'R -3'
_symmetry_Int_Tables_number 148
_symmetry_space_group_name_Hall '-R 3'
_cell_length_a 6.7954
_cell_length_b 6.7954
_cell_length_c 18.2803
_cell_angle_alpha 90.00
_cell_angle_beta 90.00
_cell_angle_gamma 120.00
loop_
_atom_site_label
_atom_site_type_symbol
_atom_site_fract_x
_atom_site_fract_y
_atom_site_fract_z
_atom_site_occupancy
Cd1 Cd 0.0000 0.0000 0.0000 1
As1 As 0.0000 0.0000 0.5000 1
Br1 Br 0.0048 0.6868 0.4186 1
# Raw total energy, eV/f.u.: -18.55
# DOS at the Fermi energy, states/eV/atom: 1.1916



# Cd2AsBr (PBE, optimized geometry)
data_Cd2AsBr
_chemical_formula_sum 'Cd2 As1 Br1'
_symmetry_space_group_name_H-M 'P m m m'
_symmetry_Int_Tables_number 47
_cell_length_a 3.210
_cell_length_b 5.043
_cell_length_c 5.899
_cell_angle_alpha 90.00
_cell_angle_beta 90.00
_cell_angle_gamma 90.00
loop_
_symmetry_equiv_pos_as_xyz
'x,y,z'
'-x,-y,-z'
'-x,-y,z'
'x,y,-z'
'x,-y,-z'
'-x,y,z'
'-x,y,-z'
'x,-y,z'
loop_
_atom_site_label
_atom_site_type_symbol
_atom_site_fract_x
_atom_site_fract_y
_atom_site_fract_z
_atom_site_occupancy
Cd1 Cd 0.000 0.000 0.000 1
Cd2 Cd 0.500 0.500 0.000 1
As1 As 0.000 0.500 0.500 1
Br1 Br 0.500 0.000 0.500 1
# Energy above the most stable polymorph in this dataset, eV/f.u.: 2.42
# Raw total energy, eV/f.u.: -7.28
# DOS at the Fermi energy, states/eV/atom: 0.4736



# Cd2AsBr (PBE, optimized geometry)
data_Cd2AsBr
_chemical_formula_sum 'Cd8 As4 Br4'
_symmetry_space_group_name_H-M 'I -4 2 d'
_symmetry_Int_Tables_number 122
_symmetry_space_group_name_Hall 'I -4 2bw'
_cell_length_a 6.309
_cell_length_b 6.309
_cell_length_c 13.073
_cell_angle_alpha 90.00
_cell_angle_beta 90.00
_cell_angle_gamma 90.00
loop_
_atom_site_label
_atom_site_type_symbol
_atom_site_fract_x
_atom_site_fract_y
_atom_site_fract_z
_atom_site_occupancy
Cd1 Cd 0.196 0.250 0.125 1
As1 As 0.000 0.000 0.000 1
Br1 Br 0.000 0.000 0.500 1
# Energy above the most stable polymorph in this dataset, eV/f.u.: 0.00
# Raw total energy, eV/f.u.: -9.70
# DOS at the Fermi energy, states/eV/atom: 0.0000



# Cd2As3Br (PBE, optimized geometry)
data_Cd2As3Br
_chemical_formula_sum 'Cd8 As12 Br4'
_symmetry_space_group_name_H-M 'C 1 2/c 1'
_symmetry_Int_Tables_number 15
_cell_length_a 8.436
_cell_length_b 9.626
_cell_length_c 8.169
_cell_angle_alpha 90.00
_cell_angle_beta 101.21
_cell_angle_gamma 90.00
loop_
_symmetry_equiv_pos_as_xyz
'x,y,z'
'-x,-y,-z'
'-x,y,-z+1/2'
'x,-y,z+1/2'
'x+1/2,y+1/2,z'
'-x+1/2,-y+1/2,-z'
'-x+1/2,y+1/2,-z+1/2'
'x+1/2,-y+1/2,z+1/2'
loop_
_atom_site_label
_atom_site_type_symbol
_atom_site_fract_x
_atom_site_fract_y
_atom_site_fract_z
_atom_site_occupancy
Cd1 Cd 0.238 0.151 0.291 1
As1 As 0.000 0.209 0.750 1
As2 As 0.127 0.047 0.972 1
Br1 Br 0.000 0.363 0.250 1
# Raw total energy, eV/f.u.: -19.14



# Cd2AsBr (PBE, optimized geometry)
data_Cd2AsBr
_chemical_formula_sum 'Cd2 As1 Br1'
_symmetry_space_group_name_H-M 'P 4 m m'
_symmetry_Int_Tables_number 99
_cell_length_a 3.322
_cell_length_b 3.322
_cell_length_c 9.223
_cell_angle_alpha 90.00
_cell_angle_beta 90.00
_cell_angle_gamma 90.00
loop_
_symmetry_equiv_pos_as_xyz
'x,y,z'
'-y,x,z'
'-x,-y,z'
'y,-x,z'
'-x,y,z'
'y,x,z'
'x,-y,z'
'-y,-x,z'
loop_
_atom_site_label
_atom_site_type_symbol
_atom_site_fract_x
_atom_site_fract_y
_atom_site_fract_z
_atom_site_occupancy
Cd1 Cd 0.000 0.000 0.000 1
Cd2 Cd 0.500 0.500 0.246 1
As1 As 0.000 0.000 0.445 1
Br1 Br 0.500 0.500 0.808 1
# Energy above the most stable polymorph in this dataset, eV/f.u.: 2.06
# Raw total energy, eV/f.u.: -7.64
# DOS at the Fermi energy, states/eV/atom: 0.7051



# CdAs2Br (PBE, optimized geometry)
data_CdAs2Br
_chemical_formula_sum 'Cd2 As4 Br2'
_symmetry_space_group_name_H-M 'C 1 m 1'
_symmetry_Int_Tables_number 8
_cell_length_a 6.725
_cell_length_b 3.759
_cell_length_c 8.860
_cell_angle_alpha 90.00
_cell_angle_beta 106.00
_cell_angle_gamma 90.00
loop_
_symmetry_equiv_pos_as_xyz
'x,y,z'
'x,-y,z'
'x+1/2,y+1/2,z'
'x+1/2,-y+1/2,z'
loop_
_atom_site_label
_atom_site_type_symbol
_atom_site_fract_x
_atom_site_fract_y
_atom_site_fract_z
_atom_site_occupancy
Cd1 Cd 0.000 0.000 0.000 1
As1 As 0.229 0.500 0.243 1
As2 As 0.462 0.000 0.401 1
Br1 Br 0.258 0.000 0.797 1
# Energy above the most stable polymorph in this dataset, eV/f.u.: 0.00
# Raw total energy, eV/f.u.: -12.58
# DOS at the Fermi energy, states/eV/atom: 0.6664



# CdAs2Br (PBE, optimized geometry)
data_CdAs2Br
_chemical_formula_sum 'Cd1 As2 Br1'
_symmetry_space_group_name_H-M 'P m m m'
_symmetry_Int_Tables_number 47
_cell_length_a 3.310
_cell_length_b 5.033
_cell_length_c 5.316
_cell_angle_alpha 90.00
_cell_angle_beta 90.00
_cell_angle_gamma 90.00
loop_
_symmetry_equiv_pos_as_xyz
'x,y,z'
'-x,-y,-z'
'-x,-y,z'
'x,y,-z'
'x,-y,-z'
'-x,y,z'
'-x,y,-z'
'x,-y,z'
loop_
_atom_site_label
_atom_site_type_symbol
_atom_site_fract_x
_atom_site_fract_y
_atom_site_fract_z
_atom_site_occupancy
Cd1 Cd 0.000 0.000 0.000 1
As1 As 0.000 0.500 0.500 1
As2 As 0.500 0.500 0.000 1
Br1 Br 0.500 0.000 0.500 1
# Energy above the most stable polymorph in this dataset, eV/f.u.: 1.94
# Raw total energy, eV/f.u.: -10.64
# DOS at the Fermi energy, states/eV/atom: 0.5209



# Cd2AsBr (PBE, optimized geometry)
data_Cd2AsBr
_chemical_formula_sum 'Cd4 As2 Br2'
_symmetry_space_group_name_H-M 'I m m 2'
_symmetry_Int_Tables_number 44
_cell_length_a 3.215
_cell_length_b 5.670
_cell_length_c 10.555
_cell_angle_alpha 90.00
_cell_angle_beta 90.00
_cell_angle_gamma 90.00
loop_
_symmetry_equiv_pos_as_xyz
'x,y,z'
'-x,-y,z'
'-x,y,z'
'x,-y,z'
'x+1/2,y+1/2,z+1/2'
'-x+1/2,-y+1/2,z+1/2'
'-x+1/2,y+1/2,z+1/2'
'x+1/2,-y+1/2,z+1/2'
loop_
_atom_site_label
_atom_site_type_symbol
_atom_site_fract_x
_atom_site_fract_y
_atom_site_fract_z
_atom_site_occupancy
Cd1 Cd 0.000 0.000 0.000 1
Cd2 Cd 0.000 0.500 0.255 1
As1 As 0.000 0.000 0.533 1
Br1 Br 0.000 0.500 0.738 1
# Energy above the most stable polymorph in this dataset, eV/f.u.: 1.79
# Raw total energy, eV/f.u.: -7.91
# DOS at the Fermi energy, states/eV/atom: 0.2673



no.,E_form (uncorrected) (eV per atom)
1,0.737
2,-0.124
3,-0.341
4,0.345
5,-0.529
6,-0.439
7,0.093
8,-0.288
9,0.192
10,0.405
11,0.280
12,0.167
13,-0.369
14,0.218
15,-0.386
16,-0.281
17,0.128
18,-0.174
19,0.311
20,0.061